DFT (PBE) results for BaZr3Al after structural relaxation.

Unit cell a=5.2575 b=5.2575 c=5.2575 alpha=90.00 beta=90.00 gamma=90.00
Space group Pm-3m (No. 221)
Inequivalent atoms, fractional coordinates:
Ba (0.0000, 0.0000, 0.0000) [1 per cell]
Zr (0.0000, 0.0000, 0.5000) [3 per cell]
Al (0.5000, 0.5000, 0.5000) [1 per cell]

## Properties
DFT formation energy ... 1.77 eV per atom
M_tot ... 0.9 μB per formula unit
Relative energy among the computed polymorphs ... 1118.2 meV per atom